# AcNbSb2

A relaxed AcNbSb2 crystal (PBE, Alexandria via LeMat-Bulk).

Calculated values
ΔE to the lowest computed polymorph = 149 meV per atom
total moment = 0.37 μB per atom
crystal system = cubic
density of states at the Fermi level = 3.08 states/eV/f.u.
ΔE_f (raw) = -0.241 eV per atom

a = 7.5371 Å, b = 7.5371 Å, c = 7.5371 Å
α = 90.00°, β = 90.00°, γ = 90.00°
Last column: nearest neighbours and their distance in Å.
Space group Fm-3m (No. 225)
Asymmetric unit:
Ac  0.0000  0.0000  0.0000 [4 per cell]  8 Sb 3.26
Nb  0.0000  0.0000  0.5000 [4 per cell]  8 Sb 3.26
Sb  0.2500  0.2500  0.2500 [8 per cell]  4 Ac 3.26, 4 Nb 3.26

=====

# LaScCl2

A relaxed LaScCl2 crystal (PBE, Alexandria via LeMat-Bulk).

Calculated values
ΔE to the lowest computed polymorph = 204 meV per atom
total moment = 0.00 μB per atom
crystal system = orthorhombic
density of states at the Fermi level = 3.54 states/eV/f.u.
ΔE_f (raw) = -1.167 eV per atom

a = 3.4480 Å, b = 4.6459 Å, c = 6.2854 Å
α = 90.00°, β = 90.00°, γ = 90.00°
Last column: nearest neighbours and their distance in Å.
Space group Pmmm (No. 47)
Asymmetric unit:
La  0.0000  0.0000  0.0000 [1 per cell]  4 Cl 2.89
Sc  0.5000  0.0000  0.5000 [1 per cell]  4 Cl 2.89
Cl  0.0000  0.5000  0.5000 [1 per cell]  4 Sc 2.89
Cl  0.5000  0.5000  0.0000 [1 per cell]  4 La 2.89

=====

# MnBe2Cl

A relaxed MnBe2Cl crystal (PBE, Alexandria via LeMat-Bulk).

Calculated values
ΔE to the lowest computed polymorph = 79 meV per atom
total moment = 0.57 μB per atom
crystal system = orthorhombic
density of states at the Fermi level = 1.67 states/eV/f.u.
ΔE_f (raw) = 0.150 eV per atom

a = 2.8461 Å, b = 2.9072 Å, c = 6.1324 Å
α = 90.00°, β = 90.00°, γ = 90.00°
Last column: nearest neighbours and their distance in Å.
Space group Pmmm (No. 47)
Asymmetric unit:
Mn  0.0000  0.0000  0.0000 [1 per cell]  8 Be 2.39
Be  0.5000  0.5000  0.2055 [2 per cell]  2 Cl 2.30, 4 Mn 2.39, 1 Be 2.52
Cl  0.0000  0.5000  0.5000 [1 per cell]  4 Be 2.30

=====

# Mg5Si6

A relaxed Mg5Si6 crystal (PBE, Alexandria via LeMat-Bulk).

Calculated values
ΔE to the lowest computed polymorph = 71 meV per atom
total moment = 0.00 μB per atom
crystal system = monoclinic
density of states at the Fermi level = 3.62 states/eV/f.u.
ΔE_f (raw) = 0.096 eV per atom

a = 7.3448 Å, b = 3.7435 Å, c = 14.8747 Å
α = 90.00°, β = 90.02°, γ = 90.00°
Last column: nearest neighbours and their distance in Å.
Space group Pm (No. 6)
Asymmetric unit:
Mg  0.0000  0.0000  0.0000 [1 per cell]  6 Si 2.82-2.85
Mg  0.0028  0.0000  0.6639 [1 per cell]  9 Si 2.78-3.08
Mg  0.0709  0.0000  0.2633 [1 per cell]  5 Si 2.72-3.04, 1 Mg 2.89
Mg  0.3360  0.5000  0.7100 [1 per cell]  4 Si 2.79-2.83
Mg  0.3502  0.5000  0.9613 [1 per cell]  8 Si 2.82-3.16
Mg  0.4105  0.5000  0.2765 [1 per cell]  6 Si 2.70-3.02
Mg  0.5442  0.0000  0.5724 [1 per cell]  5 Si 2.73-3.02
Mg  0.5936  0.0000  0.8231 [1 per cell]  5 Si 2.73-2.93
Mg  0.7641  0.5000  0.1592 [1 per cell]  5 Si 2.80-2.95, 1 Mg 3.13
Mg  0.9485  0.0000  0.4482 [1 per cell]  4 Si 2.61-2.68, 1 Mg 2.89
Si  0.1384  0.5000  0.1247 [1 per cell]  2 Si 2.44
Si  0.1956  0.0000  0.8343 [1 per cell]  2 Si 2.49
Si  0.2049  0.5000  0.5337 [1 per cell]  3 Si 2.53-2.78, 1 Mg 2.79
Si  0.3062  0.0000  0.4312 [1 per cell]  2 Si 2.53, 2 Mg 2.64-2.73
Si  0.3520  0.0000  0.1322 [1 per cell]  3 Si 2.44-2.45
Si  0.6233  0.0000  0.0363 [1 per cell]  3 Si 2.45-2.48
Si  0.6500  0.5000  0.4140 [1 per cell]  3 Si 2.47-2.48, 1 Mg 2.70
Si  0.7130  0.0000  0.3104 [1 per cell]  2 Si 2.47, 2 Mg 2.68-2.72
Si  0.7212  0.5000  0.7052 [1 per cell]  2 Si 2.37-2.52
Si  0.7323  0.5000  0.9416 [1 per cell]  3 Si 2.48-2.52, 2 Mg 2.77
Si  0.8288  0.5000  0.5554 [1 per cell]  2 Si 2.37-2.48, 2 Mg 2.61
Si  0.9731  0.5000  0.8206 [1 per cell]  4 Si 2.49-2.52

=====

# AcSbPb2Au2

A relaxed AcSbPb2Au2 crystal (PBE, Alexandria via LeMat-Bulk).

Calculated values
total moment = 0.00 μB per atom
crystal system = tetragonal
density of states at the Fermi level = 3.68 states/eV/f.u.
ΔE_f (raw) = -0.142 eV per atom

a = 5.7052 Å, b = 5.7052 Å, c = 12.0126 Å
α = 90.00°, β = 90.00°, γ = 90.00°
Last column: nearest neighbours and their distance in Å.
Space group I4/mmm (No. 139)
Asymmetric unit:
Ac  0.0000  0.0000  0.0000 [2 per cell]  2 Au 3.13
Sb  0.0000  0.0000  0.5000 [2 per cell]  2 Au 2.87
Pb  0.0000  0.5000  0.2500 [4 per cell]  4 Au 2.86
Au  0.0000  0.0000  0.2608 [4 per cell]  4 Pb 2.86, 1 Sb 2.87, 1 Ac 3.13

=====

# SrNdTe2F

A relaxed SrNdTe2F crystal (PBE, Alexandria via LeMat-Bulk).

Calculated values
total moment = 0.00 μB per atom
crystal system = tetragonal
density of states at the Fermi level = 1.61 states/eV/f.u.
ΔE_f (raw) = -2.180 eV per atom

a = 4.4132 Å, b = 4.4132 Å, c = 15.8504 Å
α = 90.00°, β = 90.00°, γ = 90.00°
Last column: nearest neighbours and their distance in Å.
Space group P4/nmm (No. 129, origin choice 2)
Asymmetric unit:
Sr  0.2500  0.2500  0.0823 [2 per cell]  4 F 2.56
Nd  0.2500  0.2500  0.6288 [2 per cell]  5 Te 2.94-3.18
Te  0.2500  0.2500  0.4106 [2 per cell]  5 Nd 3.18-3.46
Te  0.2500  0.2500  0.8141 [2 per cell]  1 Nd 2.94
F  0.2500  0.7500  0.0000 [2 per cell]  4 Sr 2.56

=====

# MnFeBP2

A relaxed MnFeBP2 crystal (PBE, Alexandria via LeMat-Bulk).

Calculated values
ΔE to the lowest computed polymorph = 157 meV per atom
total moment = 0.00 μB per atom
crystal system = monoclinic
density of states at the Fermi level = 2.29 states/eV/f.u.

a = 8.0573 Å, b = 3.0636 Å, c = 4.4625 Å
α = 90.00°, β = 105.62°, γ = 90.00°
Last column: nearest neighbours and their distance in Å.
Space group Cm (No. 8)
Asymmetric unit:
Mn  0.0000  0.0000  0.0000 [2 per cell]  1 B 2.06, 2 P 2.28
Fe  0.1591  0.5000  0.5853 [2 per cell]  2 B 2.04, 2 P 2.26
B  0.2300  0.0000  0.3435 [2 per cell]  3 P 1.93-2.11, 2 Fe 2.04, 1 Mn 2.06
P  0.2853  0.0000  0.9481 [2 per cell]  1 B 1.93
P  0.4171  0.5000  0.4583 [2 per cell]  2 B 2.11, 1 Fe 2.30, 2 Mn 2.32-2.33

=====

# MnTePS2

A relaxed MnTePS2 crystal (PBE, Alexandria via LeMat-Bulk).

Calculated values
ΔE to the lowest computed polymorph = 638 meV per atom
total moment = 0.98 μB per atom
crystal system = tetragonal
density of states at the Fermi level = 3.69 states/eV/f.u.
ΔE_f (raw) = 0.950 eV per atom

a = 5.0168 Å, b = 5.0168 Å, c = 5.0541 Å
α = 90.00°, β = 90.00°, γ = 90.00°
Last column: nearest neighbours and their distance in Å.
Space group P4/mmm (No. 123)
Asymmetric unit:
Mn  0.0000  0.0000  0.0000 [1 per cell]  4 P 3.55, 8 S 3.56
Te  0.5000  0.5000  0.5000 [1 per cell]  4 S 2.51, 2 P 2.53
P  0.5000  0.5000  0.0000 [1 per cell]  2 Te 2.53
S  0.0000  0.5000  0.5000 [2 per cell]  2 Te 2.51

=====

- Which of these has the lowest density of states at the Fermi level?
  SrNdTe2F